A plane-wave DFT calculation with PBE+U was carried out for crystalline CsMn2PbF8 at its relaxed geometry.

The space group is P-3 (No. 147) and the conventional cell measures 5.9712, 5.9712 and 8.7300 Å, with angles of 90.00, 90.00 and 120.00 degrees. The inequivalent atoms are Cs at (0.0000, 0.0000, 0.0000), Mn at (0.3333, 0.6667, 0.7617), Pb at (0.0000, 0.0000, 0.5000), F at (0.0747, 0.3281, 0.6750) and F at (0.3333, 0.6667, 0.9808).

The value obtained for the calculated total energy is -5.29 eV per atom. The density of states at the Fermi level comes out at 0.7 states/eV/cell. The value obtained for the total magnetization is 0.75 μB per atom.